# 1
Below is a relaxed structure of Ce6MgGa2, with properties calculated at the PBE level.

Unit cell a=2.968 b=9.029 c=9.029 alpha=120.00 beta=90.00 gamma=90.00
Site moments in Bohr magnetons follow the coordinates.
Atoms (fractional coordinates):
Ce 0.500 0.346 0.346  0.27
Ce 0.500 0.654 0.654  0.27
Ce 0.500 0.000 0.654  0.27
Ce 0.500 0.654 0.000  0.27
Ce 0.500 0.346 0.000  0.27
Ce 0.500 0.000 0.346  0.27
Mg 0.000 0.000 0.000  0.00
Ga 0.000 0.333 0.667  -0.01
Ga 0.000 0.667 0.333  -0.01

Computed properties:
volume: 210 Å³/cell
formation enthalpy at 0 K: -0.17 eV/atom
calculated total energy: -0.3658 Ry per atom

=====

# 2
Below is a relaxed structure of ScAlNO2, with properties calculated at the PBE level.

Unit cell a=3.974 b=3.974 c=4.224 alpha=90.00 beta=90.00 gamma=90.00
Site moments in Bohr magnetons follow the coordinates.
Atoms (fractional coordinates):
Sc 0.000 0.000 0.000  0.00
Al 0.500 0.500 0.500  -0.04
O 0.000 0.500 0.000  0.25
O 0.500 0.000 0.000  0.25
N 0.000 0.000 0.500  0.59

Computed properties:
volume: 67 Å³/cell
calculated total energy: -0.4681 Ry per atom
ΔE_f (raw): -0.7052 eV per atom

=====

# 3
Below is a relaxed structure of HPdSeN2, with properties calculated at the PBE level.

Unit cell a=3.770 b=3.770 c=5.559 alpha=90.00 beta=90.00 gamma=90.00
Atoms (fractional coordinates):
H 0.500 0.500 0.500
Se 0.000 0.000 0.500
Pd 0.000 0.000 0.000
N 0.000 0.500 0.000
N 0.500 0.000 0.000

Computed properties:
volume: 79 Å³/cell
distance to the lowest polymorph of the same formula: 1.2 kJ per mole of atoms
calculated total energy: -0.2812 Ry per atom

=====

# 4
Below is a relaxed structure of NaHo4NpS8, with properties calculated at the PBE level.

Unit cell a=8.062 b=8.062 c=8.125 alpha=60.26 beta=60.26 gamma=60.00
Site moments in Bohr magnetons follow the coordinates.
Atoms (fractional coordinates):
Na 0.374 0.374 0.877  0.00
Ho 0.626 0.626 0.123  0.02
Ho 0.005 0.488 0.503  0.03
Ho 0.488 0.005 0.503  0.03
Ho 0.005 0.005 0.503  0.03
Np 0.003 0.003 0.991  3.82
S 0.241 0.784 0.734  -0.02
S 0.784 0.241 0.734  -0.02
S 0.241 0.241 0.734  -0.02
S 0.239 0.239 0.283  0.00
S 0.754 0.228 0.263  -0.02
S 0.228 0.754 0.263  -0.02
S 0.754 0.754 0.263  -0.02
S 0.758 0.758 0.725  0.00

Computed properties:
volume: 375 Å³/cell
calculated total energy: -0.4773 Ry per atom
ΔE_f (raw): -1.8083 eV per atom